No. 1
Computed, not measured: a relaxed structure of HfTlAu at the GGA-PBE level of DFT.

Its energy is -31.728 eV per cell.

a = 7.5326 Å, b = 6.1113 Å, c = 3.3111 Å
α = 74.30°, β = 102.79°, γ = 112.20°
Closest atoms and distances in Å follow each position.
Fractional positions:
Au  0.7877  0.1412  0.8717  3 Hf 2.81-3.00, 2 Au 2.98, 2 Tl 3.09-3.11
Au  0.9232  0.5889  0.2166  4 Hf 2.84-2.86, 2 Au 2.98, 2 Tl 3.04-3.05
Tl  0.5825  0.6140  0.5341  4 Au 3.04-3.39, 3 Hf 3.13-3.39, 3 Tl 3.24-3.31
Tl  0.4134  0.0554  0.2308  2 Au 3.09-3.11, 3 Hf 3.11-3.37, 3 Tl 3.24-3.31
Hf  0.1984  0.4777  0.9114  3 Au 2.85-3.00, 2 Hf 3.10, 2 Tl 3.13-3.14
Hf  0.0433  0.0059  0.5686  4 Au 2.81-2.84, 2 Hf 3.10, 2 Tl 3.11

No. 2
Computed, not measured: a relaxed structure of LuMg2Sb at the GGA-PBE level of DFT.

As for the formation energy from raw total energies: -0.375 eV per atom. Its energy is -13.333 eV per cell.

a = 4.8251 Å, b = 4.4312 Å, c = 4.4312 Å
α = 90.00°, β = 90.00°, γ = 90.00°
Closest atoms and distances in Å follow each position.
Fractional positions:
Lu  0.5000  0.5000  0.5000  4 Sb 3.13, 8 Mg 3.28
Mg  0.0000  0.0000  0.5000  4 Mg 3.13, 4 Sb 3.28, 4 Lu 3.28
Mg  0.0000  0.5000  0.0000  4 Mg 3.13, 4 Sb 3.28, 4 Lu 3.28
Sb  0.5000  0.0000  0.0000  4 Lu 3.13, 8 Mg 3.28

No. 3
Computed, not measured: a relaxed structure of TaRe2IrC at the GGA-PBE level of DFT.

Its energy is -54.796 eV per cell.

a = 4.1357 Å, b = 4.0588 Å, c = 4.1357 Å
α = 90.00°, β = 90.00°, γ = 90.00°
Closest atoms and distances in Å follow each position.
Fractional positions:
Re  0.0000  0.0000  0.5000  2 C 2.07
Re  0.5000  0.0000  0.0000  2 C 2.07
C  0.0000  0.0000  0.0000  2 Ir 2.03, 4 Re 2.07
Ta  0.5000  0.5000  0.5000  8 Re 2.90, 4 Ir 2.92
Ir  0.0000  0.5000  0.0000  2 C 2.03

No. 4
Computed, not measured: a relaxed structure of TbPm2SmS6 at the GGA-PBE level of DFT.

As for the formation energy from raw total energies: -2.034 eV per atom. Its energy is -63.959 eV per cell.

a = 7.0815 Å, b = 7.0815 Å, c = 7.4697 Å
α = 61.71°, β = 61.71°, γ = 60.00°
Closest atoms and distances in Å follow each position.
Fractional positions:
S  0.6105  0.2097  0.2531  1 Tb 2.74, 2 Pm 2.80-2.88, 1 Sm 2.85
S  0.4197  0.7079  0.7546  1 Sm 2.77, 2 Pm 2.79-2.88, 1 Tb 2.80
S  0.7079  0.1177  0.7547  1 Sm 2.77, 2 Pm 2.79-2.88, 1 Tb 2.80
S  0.1178  0.4197  0.7547  1 Sm 2.77, 2 Pm 2.79-2.88, 1 Tb 2.80
S  0.2096  0.9268  0.2531  1 Tb 2.74, 2 Pm 2.80-2.88, 1 Sm 2.85
S  0.9268  0.6105  0.2531  1 Tb 2.74, 2 Pm 2.80-2.88, 1 Sm 2.85
Pm  0.0191  0.0191  0.9426  6 S 2.79-2.88
Pm  0.5206  0.5205  0.4384  6 S 2.80-2.88
Tb  0.3159  0.3158  0.0525  6 S 2.74-2.80
Sm  0.8138  0.8139  0.5584  6 S 2.77-2.85

No. 5
Computed, not measured: a relaxed structure of Dy5Ho2Ir4 at the GGA-PBE level of DFT.

Its energy is -72.429 eV per cell.

a = 3.6328 Å, b = 6.8215 Å, c = 12.1758 Å
α = 87.76°, β = 98.58°, γ = 90.00°
Closest atoms and distances in Å follow each position.
Fractional positions:
Dy  0.1335  0.8136  0.2671  3 Ir 2.72-2.84
Dy  0.2321  0.2860  0.4643  3 Ir 2.81-2.83
Dy  0.8665  0.1864  0.7329  3 Ir 2.72-2.84
Dy  0.7679  0.7140  0.5357  3 Ir 2.81-2.83
Dy  0.5000  0.0000  0.0000  4 Ir 2.80
Ir  0.0266  0.6975  0.0531  3 Dy 2.72-2.80, 2 Ho 2.73-2.75, 1 Ir 3.03
Ir  0.6673  0.5114  0.3346  5 Dy 2.81-2.84, 2 Ho 2.91
Ir  0.3327  0.4886  0.6654  5 Dy 2.81-2.84, 2 Ho 2.91
Ir  0.9734  0.3025  0.9469  3 Dy 2.72-2.80, 2 Ho 2.73-2.75, 1 Ir 3.03
Ho  0.0865  0.3486  0.1730  4 Ir 2.73-2.91
Ho  0.9135  0.6514  0.8270  4 Ir 2.73-2.91

No. 6
Computed, not measured: a relaxed structure of BaAcBr2O at the GGA-PBE level of DFT.

As for the formation energy from raw total energies: -2.396 eV per atom. Its energy is -52.629 eV per cell.

a = 4.3995 Å, b = 4.3995 Å, c = 15.7118 Å
α = 90.00°, β = 90.00°, γ = 90.00°
Closest atoms and distances in Å follow each position.
Fractional positions:
O  0.5000  0.5000  0.5000  4 Ac 2.51
O  0.0000  0.0000  0.5000  4 Ac 2.51
Br  0.0000  0.5000  0.1839  4 Ba 3.33
Br  0.5000  0.0000  0.8161  4 Ba 3.33
Br  0.5000  0.0000  0.3278  4 Ac 3.45, 1 Ba 3.45, 4 O 3.49, 4 Br 3.85
Br  0.0000  0.5000  0.6722  4 Ac 3.45, 1 Ba 3.45, 4 O 3.49, 4 Br 3.85
Ac  0.0000  0.5000  0.4229  4 O 2.51
Ac  0.5000  0.0000  0.5771  4 O 2.51
Ba  0.5000  0.0000  0.1079  5 Br 3.33-3.45
Ba  0.0000  0.5000  0.8921  5 Br 3.33-3.45

No. 7
Computed, not measured: a relaxed structure of La3PrTc at the GGA-PBE level of DFT.

As for the offset from the most stable computed form: 0.000 eV/atom. Its energy is -29.538 eV per cell.

a = 5.5774 Å, b = 5.5774 Å, c = 5.5774 Å
α = 90.00°, β = 90.00°, γ = 90.00°
Closest atoms and distances in Å follow each position.
Fractional positions:
La  0.5000  0.0000  0.0000  2 Tc 2.79
La  0.0000  0.5000  0.0000  2 Tc 2.79
La  0.0000  0.0000  0.5000  2 Tc 2.79
Tc  0.0000  0.0000  0.0000  6 La 2.79
Pr  0.5000  0.5000  0.5000  12 La 3.94

No. 8
Computed, not measured: a relaxed structure of Ac3HoHg4 at the GGA-PBE level of DFT.

Its energy is -21.748 eV per cell.

a = 3.9313 Å, b = 3.9313 Å, c = 16.0777 Å
α = 90.00°, β = 90.00°, γ = 90.00°
Closest atoms and distances in Å follow each position.
Fractional positions:
Ac  0.5000  0.5000  0.7611  8 Hg 3.50-3.53, 1 Ho 3.84
Ac  0.5000  0.5000  0.2389  8 Hg 3.50-3.53, 1 Ho 3.84
Ac  0.5000  0.5000  0.5000  8 Hg 3.47
Hg  0.0000  0.0000  0.1031  4 Ho 3.24, 1 Hg 3.32, 4 Ac 3.53
Hg  0.0000  0.0000  0.6291  8 Ac 3.47-3.50
Hg  0.0000  0.0000  0.3709  8 Ac 3.47-3.50
Hg  0.0000  0.0000  0.8969  4 Ho 3.24, 1 Hg 3.32, 4 Ac 3.53
Ho  0.5000  0.5000  0.0000  8 Hg 3.24

No. 9
Computed, not measured: a relaxed structure of Tb6Er2TmSc3 at the GGA-PBE level of DFT.

Its energy is -59.866 eV per cell.

a = 6.0334 Å, b = 6.0334 Å, c = 11.4081 Å
α = 95.05°, β = 95.05°, γ = 119.96°
Closest atoms and distances in Å follow each position.
Fractional positions:
Tb  0.9141  0.5809  0.7423  3 Sc 3.38, 6 Tb 3.48-3.49, 2 Er 3.52, 1 Tm 3.52
Tb  0.4191  0.0859  0.2577  3 Sc 3.38, 6 Tb 3.48-3.49, 2 Er 3.52, 1 Tm 3.52
Tb  0.0859  0.4191  0.2577  3 Sc 3.38, 6 Tb 3.48-3.49, 2 Er 3.52, 1 Tm 3.52
Tb  0.2473  0.2473  0.7422  3 Sc 3.38, 6 Tb 3.48-3.49, 1 Tm 3.52, 2 Er 3.53
Tb  0.7527  0.7527  0.2578  3 Sc 3.38, 6 Tb 3.48-3.49, 1 Tm 3.52, 2 Er 3.53
Tb  0.5809  0.9141  0.7423  3 Sc 3.38, 6 Tb 3.48-3.49, 2 Er 3.52, 1 Tm 3.52
Er  0.6667  0.3333  0.0000  3 Er 3.48, 3 Tm 3.48, 6 Tb 3.52-3.53
Er  0.3333  0.6667  0.0000  3 Er 3.48, 3 Tm 3.48, 6 Tb 3.52-3.53
Sc  0.1667  0.8333  0.5000  6 Tb 3.38, 6 Sc 3.48
Sc  0.5000  0.5000  0.5000  6 Tb 3.38, 6 Sc 3.48
Sc  0.8333  0.1667  0.5000  6 Tb 3.38, 6 Sc 3.48
Tm  0.0000  0.0000  0.0000  6 Er 3.48, 6 Tb 3.52

No. 10
Computed, not measured: a relaxed structure of LiBeMo2 at the GGA-PBE level of DFT.

As for the offset from the most stable computed form: 0.024 eV/atom. Its energy is -26.274 eV per cell.

a = 2.6365 Å, b = 2.6365 Å, c = 7.9735 Å
α = 90.00°, β = 90.00°, γ = 89.96°
Closest atoms and distances in Å follow each position.
Fractional positions:
Li  0.5000  0.5000  0.7500  4 Li 2.64
Mo  0.0000  0.0000  0.4605  4 Be 2.51, 4 Mo 2.64
Mo  0.0000  0.0000  0.0395  4 Be 2.51, 4 Mo 2.64
Be  0.5000  0.5000  0.2500  8 Mo 2.51, 4 Be 2.64

No. 11
Computed, not measured: a relaxed structure of Mg2NiPt at the GGA-PBE level of DFT.

Its energy is -17.089 eV per cell.

a = 2.9490 Å, b = 3.4784 Å, c = 6.8358 Å
α = 59.40°, β = 90.00°, γ = 90.00°
Closest atoms and distances in Å follow each position.
Fractional positions:
Pt  0.5000  0.7500  0.7500  8 Mg 2.73, 2 Ni 2.94, 2 Pt 2.95
Mg  0.0000  0.9942  0.0058  4 Ni 2.69-2.70, 4 Pt 2.73, 4 Mg 2.87-3.01
Mg  0.0000  0.5058  0.4942  4 Ni 2.69-2.70, 4 Pt 2.73, 4 Mg 2.87-3.01
Ni  0.5000  0.2500  0.2500  8 Mg 2.69-2.70, 2 Pt 2.94, 2 Ni 2.95

No. 12
Computed, not measured: a relaxed structure of Nd2DyHg2 at the GGA-PBE level of DFT.

As for the offset from the most stable computed form: 0.042 eV/atom. Its energy is -16.392 eV per cell.

a = 4.8519 Å, b = 6.0566 Å, c = 6.0566 Å
α = 71.63°, β = 66.39°, γ = 66.39°
Closest atoms and distances in Å follow each position.
Fractional positions:
Dy  0.0000  0.0000  0.0000  4 Hg 3.14
Nd  0.1935  0.3065  0.3065  6 Hg 3.29-3.32, 1 Nd 3.31, 2 Dy 3.57
Nd  0.8065  0.6935  0.6935  6 Hg 3.29-3.32, 1 Nd 3.31, 2 Dy 3.57
Hg  0.5000  0.2806  0.7194  1 Hg 3.11, 2 Dy 3.14, 6 Nd 3.29-3.32
Hg  0.5000  0.7194  0.2806  1 Hg 3.11, 2 Dy 3.14, 6 Nd 3.29-3.32